Ba3BeBr: optimized geometry, PBE.

Calculated values
Distance to the lowest polymorph of the same formula, eV/atom: 0.000
Raw formation energy, eV/atom: -0.09
Calculated volume, Å³/f.u.: 252
ρ, g/cm3: 3.30

Cell lengths 6.3198, 6.3198, 6.3198 Å; angles 90.00, 90.00, 90.00 degrees
Last column: nearest neighbours and their distance in Å.
Fractional positions:
Ba: 0.0000 0.0000 0.5000  2 Be 3.16
Ba: 0.0000 0.5000 0.0000  2 Be 3.16
Ba: 0.5000 0.0000 0.0000  2 Be 3.16
Be: 0.0000 0.0000 0.0000  6 Ba 3.16
Br: 0.5000 0.5000 0.5000  12 Ba 4.47